Record 1
DFT (PBE) results for a relaxed Cs2RbH crystal.

Cell: 10.2780 10.2780 10.2780 Å, 90.00 90.00 90.00°
Closest atoms and distances in Å follow each position.
Space group Fm-3m (No. 225)
Symmetry-distinct sites (fractional):
Cs 0.2500 0.2500 0.2500 x8  4 H 4.45, 4 Rb 4.45
Rb 0.0000 0.0000 0.0000 x4  8 Cs 4.45
H 0.0000 0.0000 0.5000 x4  8 Cs 4.45

Calculated values
Electronic total energy = -1.18 eV/atom
Size of the total moment = 0.00 μB per cell
Density of states at the Fermi level = 0.06 states/eV/atom
Distance to the lowest polymorph of the same formula = 357 meV/atom

Record 2
DFT (PBE) results for a relaxed Er2CoBr crystal.

Cell: 3.8243 3.8243 22.6598 Å, 90.00 90.00 120.00°
Closest atoms and distances in Å follow each position.
Space group R-3m (No. 166, hexagonal axes)
Symmetry-distinct sites (fractional):
Er 0.0000 0.0000 0.2296 x6  3 Co 2.63
Co 0.0000 0.0000 0.5000 x3  6 Er 2.63
Br 0.0000 0.0000 0.0000 x3  6 Er 3.22

Calculated values
Electronic total energy = -5.21 eV/atom
Size of the total moment = 0.00 μB per cell
Density of states at the Fermi level = 0.25 states/eV/atom
Uncorrected formation energy = -732.8 meV/atom
Distance to the lowest polymorph of the same formula = 0 meV/atom

Record 3
DFT (PBE) results for a relaxed TiZnHg2Pd crystal.

Cell: 4.8526 4.8526 4.8789 Å, 90.00 90.00 90.00°
Closest atoms and distances in Å follow each position.
Space group P4/mmm (No. 123)
Symmetry-distinct sites (fractional):
Ti 0.0000 0.0000 0.0000 x1  2 Zn 2.44
Zn 0.0000 0.0000 0.5000 x1  4 Hg 2.43, 2 Ti 2.44
Hg 0.0000 0.5000 0.5000 x2  2 Zn 2.43
Pd 0.5000 0.5000 0.0000 x1  4 Ti 3.43, 8 Hg 3.44

Calculated values
Electronic total energy = -2.30 eV/atom
ΔE_f = 66.7 kJ/mol of atoms
Size of the total moment = 1.51 μB per cell
Density of states at the Fermi level = 1.04 states/eV/atom

> What is the density of states at the Fermi level in the first record?

0.06 states/eV/atom

> What is the formula in the third record?

TiZnHg2Pd